The following is a GGA+U calculation of an optimized crystal structure of AcCr2F8, from Alexandria.

a = 9.9048 Å, b = 7.8522 Å, c = 4.3530 Å
α = 90.00°, β = 98.48°, γ = 90.00°
Last column: nearest neighbours and their distance in Å.
Space group C2/m (No. 12)
Inequivalent atoms, fractional coordinates:
Ac  0.0000  0.0000  0.0000 (multiplicity 2)  6 F 2.43-2.45
Cr  0.1208  0.5000  0.2805 (multiplicity 4)  4 F 1.95-2.06
F  0.0888  0.5000  0.7684 (multiplicity 4)  3 Cr 2.06-2.20
F  0.1136  0.2518  0.2514 (multiplicity 8)  1 Cr 1.95
F  0.1771  0.0000  0.6703 (multiplicity 4)  1 Cr 1.98

Summary:
V (Å³ per cell): 334.8
Mass density (g/cm3): 4.79
Total energy (eV for the cell shown): -137.0
Density of states at the Fermi level (states/eV/f.u.): 1.84